(1)
The following is a DFT calculation (PBE-GGA) of an optimized crystal structure of Na4Pr3AlO8.

Cell and atoms, written as POSCAR:
```
Na4Pr3AlO8
1.0
6.8755 0.0000 0.0000
0.0000 6.8431 -0.0391
-3.4378 -3.4425 5.1333
O Pr Na Al
8 3 4 1
Direct
0.1861 0.6797 0.9709 O
0.2152 0.3203 0.0291 O
0.8139 0.3203 0.0291 O
0.2752 0.7622 0.5505 O
0.7248 0.2378 0.4495 O
0.7848 0.6797 0.9709 O
0.7319 0.7213 0.4638 O
0.2681 0.2787 0.5362 O
0.5000 0.5000 0.0000 Pr
0.0000 0.5000 0.5000 Pr
0.5000 0.5000 0.5000 Pr
0.0000 0.0000 0.5000 Na
0.5000 0.0000 0.0000 Na
0.5000 0.0000 0.5000 Na
0.0000 0.0000 0.0000 Na
0.0000 0.5000 0.0000 Al
```

## Properties
theoretical density: 4.622 g/cm3
total magnetization: 0.00 μB/f.u.
energy relative to the elements, uncorrected: -2.4102 eV per atom
energy: -6.349 eV per atom


(2)
The following is a DFT calculation (PBE-GGA) of an optimized crystal structure of MgMn3S.

Cell and atoms, written as POSCAR:
```
MgMn3S
1.0
4.3356 0.0000 0.0000
0.0000 4.3356 0.0000
0.0000 0.0000 4.3356
S Mg Mn
1 1 3
Direct
0.0000 0.0000 0.0000 S
0.5000 0.5000 0.5000 Mg
0.0000 0.5000 0.0000 Mn
0.0000 0.0000 0.5000 Mn
0.5000 0.0000 0.0000 Mn
```

## Properties
theoretical density: 4.507 g/cm3
total magnetization: 8.97 μB/f.u.
energy relative to the elements, uncorrected: 0.0940 eV per atom
energy: -6.552 eV per atom


(3)
The following is a DFT calculation (PBE-GGA) of an optimized crystal structure of V4GaGe.

Cell and atoms, written as POSCAR:
```
V4GaGe
1.0
3.1433 -0.4003 -0.0808
0.3982 3.1435 -0.0807
0.2353 0.1822 8.2501
Ge Ga V
1 1 4
Direct
0.5000 0.5000 0.5000 Ge
0.0000 0.0000 0.0000 Ga
0.0000 0.0000 0.3289 V
0.0000 0.0000 0.6711 V
0.5000 0.5000 0.1790 V
0.5000 0.5000 0.8210 V
```

## Properties
theoretical density: 6.930 g/cm3
total magnetization: 0.00 μB/f.u.
energy: -7.610 eV per atom
ΔE_f: -0.257 eV/atom


(4)
The following is a DFT calculation (PBE-GGA) of an optimized crystal structure of Cd2HW.

Cell and atoms, written as POSCAR:
```
Cd2HW
1.0
0.0000 3.3089 3.3089
3.3089 0.0000 3.3089
3.3089 3.3089 0.0000
W Cd H
1 2 1
Direct
0.5000 0.5000 0.5000 W
0.7500 0.7500 0.7500 Cd
0.2500 0.2500 0.2500 Cd
0.0000 0.0000 0.0000 H
```

## Properties
theoretical density: 9.389 g/cm3
total magnetization: 2.90 μB/f.u.
energy: -3.044 eV per atom


(5)
The following is a DFT calculation (PBE-GGA) of an optimized crystal structure of CaDy2In.

Cell and atoms, written as POSCAR:
```
CaDy2In
1.0
-0.9297 3.3939 -0.9803
-2.7952 -0.0868 2.3502
5.6411 3.5209 6.8393
Ca Dy In
1 2 1
Direct
0.5000 0.5000 0.5000 Ca
0.0000 0.0000 0.7946 Dy
0.0000 0.0000 0.2054 Dy
0.5000 0.5000 0.0000 In
```

## Properties
theoretical density: 6.260 g/cm3
total magnetization: 0.00 μB/f.u.
energy: -3.645 eV per atom
ΔE_f: -0.159 eV/atom


(6)
The following is a DFT calculation (PBE-GGA) of an optimized crystal structure of Ce2HgB2Rh5.

Cell and atoms, written as POSCAR:
```
Ce2HgB2Rh5
1.0
-1.3942 -2.8404 1.1038
4.0344 1.3727 8.6281
-7.7652 4.9186 2.8485
Rh Ce B Hg
10 4 4 2
Direct
0.5000 0.2278 0.0719 Rh
0.5000 0.0000 0.5000 Rh
0.5000 0.5000 0.0000 Rh
0.5000 0.4281 0.2722 Rh
0.5000 0.0719 0.7722 Rh
0.5000 0.9281 0.2278 Rh
0.5000 0.2722 0.5719 Rh
0.5000 0.7278 0.4281 Rh
0.5000 0.5719 0.7278 Rh
0.5000 0.7722 0.9281 Rh
0.0000 0.1772 0.3228 Ce
0.0000 0.3228 0.8228 Ce
0.0000 0.6772 0.1772 Ce
0.0000 0.8228 0.6772 Ce
0.0000 0.1202 0.6202 B
0.0000 0.6202 0.8798 B
0.0000 0.8798 0.3798 B
0.0000 0.3798 0.1202 B
0.0000 0.0000 0.0000 Hg
0.0000 0.5000 0.5000 Hg
```

## Properties
theoretical density: 10.883 g/cm3
total magnetization: 0.33 μB/f.u.
energy: -6.852 eV per atom
ΔE_f: -0.624 eV/atom


(7)
The following is a DFT calculation (PBE-GGA) of an optimized crystal structure of RbAg2BiI6.

Cell and atoms, written as POSCAR:
```
RbAg2BiI6
1.0
8.1509 -0.6280 -0.6517
1.9314 10.5878 0.2262
1.9314 -0.1663 10.5889
I Bi Rb Ag
12 2 2 4
Direct
0.3463 0.2457 0.0015 I
0.3805 0.5401 0.7104 I
0.6195 0.4599 0.2896 I
0.1195 0.2896 0.4599 I
0.8463 0.0015 0.2457 I
0.1537 0.9985 0.7543 I
0.9092 0.3882 0.8500 I
0.5908 0.1500 0.6118 I
0.8805 0.7104 0.5401 I
0.6537 0.7543 0.9985 I
0.4092 0.8500 0.3882 I
0.0908 0.6118 0.1500 I
0.7500 0.7376 0.2624 Bi
0.2500 0.2624 0.7376 Bi
0.2500 0.9179 0.0821 Rb
0.7500 0.0821 0.9179 Rb
0.2748 0.4790 0.3231 Ag
0.7748 0.3231 0.4790 Ag
0.7252 0.5210 0.6769 Ag
0.2252 0.6769 0.5210 Ag
```

## Properties
theoretical density: 4.492 g/cm3
total magnetization: 0.00 μB/f.u.
energy relative to the elements, uncorrected: -0.5619 eV per atom
energy: -2.547 eV per atom


(8)
The following is a DFT calculation (PBE-GGA) of an optimized crystal structure of LiZr3Pb.

Cell and atoms, written as POSCAR:
```
LiZr3Pb
1.0
-0.3208 -3.5439 4.1447
-0.7020 -4.0905 -3.5519
5.4079 -0.7412 -0.2152
Li Zr Pb
1 3 1
Direct
0.5000 0.5000 0.5000 Li
0.5000 0.0000 0.0000 Zr
0.0000 0.0000 0.5000 Zr
0.0000 0.5000 0.0000 Zr
0.0000 0.0000 0.0000 Pb
```

## Properties
theoretical density: 4.969 g/cm3
total magnetization: 0.00 μB/f.u.
energy: -5.108 eV per atom
ΔE_f: 1.145 eV/atom


(9)
The following is a DFT calculation (PBE-GGA) of an optimized crystal structure of Tl2CdS8.

Cell and atoms, written as POSCAR:
```
Tl2CdS8
1.0
-1.0921 -4.2944 -1.9552
7.1058 0.1648 -4.2568
0.7985 -0.0935 9.1464
S Tl Cd
8 2 1
Direct
0.3357 0.8638 0.7302 S
0.8374 0.5080 0.0397 S
0.6643 0.1362 0.2698 S
0.1131 0.0805 0.7716 S
0.1626 0.4920 0.9603 S
0.8869 0.9195 0.2284 S
0.1138 0.6812 0.7686 S
0.8862 0.3188 0.2314 S
0.3817 0.3068 0.6216 Tl
0.6183 0.6932 0.3784 Tl
0.0000 0.0000 0.0000 Cd
```

## Properties
theoretical density: 4.392 g/cm3
total magnetization: 0.00 μB/f.u.
energy relative to the elements, uncorrected: -0.0371 eV per atom
energy: -3.552 eV per atom


(10)
The following is a DFT calculation (PBE-GGA) of an optimized crystal structure of YW3.

Cell and atoms, written as POSCAR:
```
YW3
1.0
3.2654 -5.6559 0.0000
3.2654 5.6559 0.0000
0.0000 0.0000 4.4820
Y W
2 6
Direct
0.6667 0.3333 0.7500 Y
0.3333 0.6667 0.2500 Y
0.2731 0.1366 0.2500 W
0.1366 0.2731 0.7500 W
0.1366 0.8634 0.7500 W
0.8634 0.1366 0.2500 W
0.7269 0.8634 0.7500 W
0.8634 0.7269 0.2500 W
```

## Properties
theoretical density: 12.847 g/cm3
total magnetization: 0.00 μB/f.u.
energy: -10.713 eV per atom
ΔE_f: 0.618 eV/atom


(11)
The following is a DFT calculation (PBE-GGA) of an optimized crystal structure of Ba2CaIr.

Cell and atoms, written as POSCAR:
```
Ba2CaIr
1.0
11.3446 0.0000 0.0000
0.0000 11.3446 0.0000
5.6723 5.6723 2.8286
Ba Ca Ir
4 2 2
Direct
0.7765 0.1250 0.2500 Ba
0.8750 0.0265 0.7500 Ba
0.3750 0.2235 0.7500 Ba
0.9735 0.6250 0.2500 Ba
0.5000 0.5000 0.0000 Ca
0.2500 0.7500 0.5000 Ca
0.0000 0.0000 0.0000 Ir
0.7500 0.2500 0.5000 Ir
```

## Properties
theoretical density: 4.625 g/cm3
total magnetization: 0.00 μB/f.u.
energy: -3.680 eV per atom
ΔE_f: -0.003 eV/atom


(12)
The following is a DFT calculation (PBE-GGA) of an optimized crystal structure of Ti2ZnCu.

Cell and atoms, written as POSCAR:
```
Ti2ZnCu
1.0
3.1569 0.0000 0.0000
0.0000 4.3367 -0.6205
0.0000 0.6163 4.3373
Ti Zn Cu
2 1 1
Direct
0.0000 0.0000 0.0000 Ti
0.0000 0.5000 0.5000 Ti
0.5000 0.0000 0.5000 Zn
0.5000 0.5000 0.0000 Cu
```

## Properties
theoretical density: 6.158 g/cm3
total magnetization: 0.90 μB/f.u.
energy: -5.385 eV per atom
ΔE_f: -0.095 eV/atom


(13)
The following is a DFT calculation (PBE-GGA) of an optimized crystal structure of Nd4SmAs5.

Cell and atoms, written as POSCAR:
```
Nd4SmAs5
1.0
-2.7801 -2.7485 -1.7047
2.4755 -4.4760 3.1795
-6.6351 5.5277 7.2436
As Nd Sm
5 4 1
Direct
0.4013 0.9013 0.8026 As
0.7999 0.2999 0.5998 As
0.2001 0.7001 0.4002 As
0.0000 0.5000 0.0000 As
0.5987 0.0987 0.1974 As
0.1995 0.1995 0.3989 Nd
0.5998 0.5998 0.1995 Nd
0.4002 0.4002 0.8005 Nd
0.8005 0.8005 0.6011 Nd
0.0000 0.0000 0.0000 Sm
```

## Properties
theoretical density: 6.689 g/cm3
total magnetization: 0.00 μB/f.u.
energy: -6.219 eV per atom
ΔE_f: -1.515 eV/atom


(14)
The following is a DFT calculation (PBE-GGA) of an optimized crystal structure of ThInH.

Cell and atoms, written as POSCAR:
```
ThInH
1.0
-2.2057 -0.3678 4.5433
-3.4615 -0.5197 -1.7226
2.2429 -3.0795 0.8396
In Th H
1 1 1
Direct
0.6665 0.6667 0.3333 In
0.1665 0.3333 0.6667 Th
0.1670 0.0000 0.0000 H
```

## Properties
theoretical density: 8.655 g/cm3
total magnetization: 0.00 μB/f.u.
energy: -4.821 eV per atom


(15)
The following is a DFT calculation (PBE-GGA) of an optimized crystal structure of TlSn3.

Cell and atoms, written as POSCAR:
```
TlSn3
1.0
-3.2195 -0.7895 1.6746
-1.3836 -1.7267 -3.4741
2.8127 -6.7408 2.2300
Sn Tl
3 1
Direct
0.0004 0.0000 0.0342 Sn
0.9996 0.0000 0.4658 Sn
0.5000 0.5000 0.2500 Sn
0.5000 0.5000 0.7500 Tl
```

## Properties
theoretical density: 7.967 g/cm3
total magnetization: 0.00 μB/f.u.
energy: -3.562 eV per atom
ΔE_f: 0.031 eV/atom


(16)
The following is a DFT calculation (PBE-GGA) of an optimized crystal structure of Tb12Dy5Sc.

Cell and atoms, written as POSCAR:
```
Tb12Dy5Sc
1.0
-0.1660 -15.0024 0.0215
1.9601 -7.5135 7.2381
-4.8177 0.0554 1.3620
Tb Dy Sc
12 5 1
Direct
0.0003 0.6696 0.0000 Tb
0.5002 0.6659 0.5000 Tb
0.6668 0.0000 0.0000 Tb
0.6699 0.3304 0.0000 Tb
0.3332 0.0000 0.0000 Tb
0.9997 0.3304 0.0000 Tb
0.3301 0.6696 0.0000 Tb
0.1661 0.3341 0.5000 Tb
0.1640 0.0000 0.5000 Tb
0.8339 0.6659 0.5000 Tb
0.8360 0.0000 0.5000 Tb
0.4998 0.3341 0.5000 Tb
0.6669 0.6663 0.0000 Dy
0.3331 0.3337 0.0000 Dy
0.5000 0.0000 0.5000 Dy
0.1645 0.6710 0.5000 Dy
0.8355 0.3290 0.5000 Dy
0.0000 0.0000 0.0000 Sc
```

## Properties
theoretical density: 8.137 g/cm3
total magnetization: 0.00 μB/f.u.
energy: -4.694 eV per atom
ΔE_f: 0.023 eV/atom


(17)
The following is a DFT calculation (PBE-GGA) of an optimized crystal structure of PmPrLuPu.

Cell and atoms, written as POSCAR:
```
PmPrLuPu
1.0
-4.9621 2.3129 -1.4338
-3.3529 -2.5940 -3.7493
-4.8359 -2.3922 1.7086
Pr Pm Lu Pu
1 1 1 1
Direct
0.2500 0.2500 0.2500 Pr
0.7500 0.7500 0.7500 Pm
0.0000 0.0000 0.0000 Lu
0.5000 0.5000 0.5000 Pu
```

## Properties
theoretical density: 9.132 g/cm3
total magnetization: 7.56 μB/f.u.
energy: -6.885 eV per atom
ΔE_f: 0.211 eV/atom


(18)
The following is a DFT calculation (PBE-GGA) of an optimized crystal structure of TmNpRuO6.

Cell and atoms, written as POSCAR:
```
TmNpRuO6
1.0
5.5434 0.0000 0.0000
-2.7717 4.8007 0.0000
0.0000 0.0000 8.6364
O Tm Np Ru
12 2 2 2
Direct
0.3108 0.9792 0.6243 O
0.3316 0.0208 0.1243 O
0.0208 0.6892 0.8757 O
0.6684 0.9792 0.8757 O
0.9792 0.6684 0.3757 O
0.6892 0.0208 0.3757 O
0.6684 0.6892 0.6243 O
0.3108 0.3316 0.8757 O
0.3316 0.3108 0.3757 O
0.9792 0.3108 0.1243 O
0.0208 0.3316 0.6243 O
0.6892 0.6684 0.1243 O
0.6667 0.3333 0.7500 Tm
0.3333 0.6667 0.2500 Tm
0.3333 0.6667 0.7500 Np
0.6667 0.3333 0.2500 Np
0.0000 0.0000 0.5000 Ru
0.0000 0.0000 0.0000 Ru
```

## Properties
theoretical density: 8.713 g/cm3
total magnetization: 2.00 μB/f.u.
energy relative to the elements, uncorrected: -2.2713 eV per atom
energy: -8.542 eV per atom


(19)
The following is a DFT calculation (PBE-GGA) of an optimized crystal structure of BeTlAu.

Cell and atoms, written as POSCAR:
```
BeTlAu
1.0
-0.3586 0.1685 3.9729
1.9747 -3.0253 -1.6996
3.8179 2.3546 0.2448
Tl Be Au
1 1 1
Direct
0.6667 0.3333 0.6666 Tl
0.3333 0.6667 0.1667 Be
0.0000 0.0000 0.1667 Au
```

## Properties
theoretical density: 10.988 g/cm3
total magnetization: 0.00 μB/f.u.
energy: -2.926 eV per atom
ΔE_f: 0.197 eV/atom


(20)
The following is a DFT calculation (PBE-GGA) of an optimized crystal structure of Ho3AgSb.

Cell and atoms, written as POSCAR:
```
Ho3AgSb
1.0
-1.9104 4.9359 0.1932
-1.8607 -0.9545 5.9861
7.6832 2.8638 2.8449
Ho Ag Sb
6 2 2
Direct
0.5000 0.0000 0.0000 Ho
0.5000 0.5000 0.0000 Ho
0.9999 0.7500 0.2346 Ho
0.4999 0.2500 0.3569 Ho
0.0001 0.2500 0.7654 Ho
0.5001 0.7500 0.6431 Ho
0.5001 0.2500 0.6872 Ag
0.4999 0.7500 0.3128 Ag
0.0000 0.2500 0.1417 Sb
0.0000 0.7500 0.8583 Sb
```

## Properties
theoretical density: 8.254 g/cm3
total magnetization: 0.00 μB/f.u.
energy relative to the elements, uncorrected: -0.3887 eV per atom
energy: -4.530 eV per atom


(21)
The following is a DFT calculation (PBE-GGA) of an optimized crystal structure of Ce3ScSe6.

Cell and atoms, written as POSCAR:
```
Ce3ScSe6
1.0
8.2810 0.0417 -1.2854
-1.5066 8.1429 -1.2854
0.0345 0.0417 8.3801
Ce Se Sc
6 12 2
Direct
0.3765 0.7104 0.8846 Ce
0.7104 0.8846 0.3765 Ce
0.2896 0.1154 0.6235 Ce
0.8846 0.3765 0.7104 Ce
0.1154 0.6235 0.2896 Ce
0.6235 0.2896 0.1154 Ce
0.5735 0.4369 0.8108 Se
0.0657 0.9615 0.3155 Se
0.3155 0.0657 0.9615 Se
0.1892 0.4265 0.5631 Se
0.5631 0.1892 0.4265 Se
0.4369 0.8108 0.5735 Se
0.8108 0.5735 0.4369 Se
0.9615 0.3155 0.0657 Se
0.6845 0.9343 0.0385 Se
0.4265 0.5631 0.1892 Se
0.0385 0.6845 0.9343 Se
0.9343 0.0385 0.6845 Se
0.5000 0.5000 0.5000 Sc
0.0000 0.0000 0.0000 Sc
```

## Properties
theoretical density: 5.505 g/cm3
total magnetization: 3.03 μB/f.u.
energy relative to the elements, uncorrected: -1.7467 eV per atom
energy: -6.251 eV per atom


(22)
The following is a DFT calculation (PBE-GGA) of an optimized crystal structure of Ba2ZnSnSe5.

Cell and atoms, written as POSCAR:
```
Ba2ZnSnSe5
1.0
-4.0266 1.3373 -0.3389
-0.6900 -7.1154 6.8495
2.1448 8.8397 9.3989
Ba Se Zn Sn
4 10 2 2
Direct
0.1125 0.2251 0.6949 Ba
0.1243 0.2486 0.3082 Ba
0.8875 0.7749 0.1949 Ba
0.8757 0.7514 0.8082 Ba
0.4992 0.9985 0.2810 Se
0.0742 0.1485 0.0382 Se
0.6481 0.2961 0.5036 Se
0.3519 0.7039 0.0036 Se
0.5008 0.0015 0.7810 Se
0.2807 0.5614 0.6636 Se
0.7193 0.4386 0.1636 Se
0.3005 0.6010 0.3765 Se
0.9258 0.8515 0.5382 Se
0.6995 0.3990 0.8765 Se
0.4305 0.8610 0.4351 Zn
0.5695 0.1390 0.9351 Zn
0.7847 0.5693 0.5229 Sn
0.2153 0.4307 0.0229 Sn
```

## Properties
theoretical density: 5.266 g/cm3
total magnetization: 0.00 μB/f.u.
energy relative to the elements, uncorrected: -1.1653 eV per atom
energy: -4.115 eV per atom


(23)
The following is a DFT calculation (PBE-GGA) of an optimized crystal structure of LaTl2Ag.

Cell and atoms, written as POSCAR:
```
LaTl2Ag
1.0
5.3439 -0.3600 0.4464
3.0634 4.3935 0.4464
2.2843 1.0959 4.6189
La Tl Ag
1 2 1
Direct
0.7499 0.7499 0.7499 La
0.2502 0.2502 0.2500 Tl
0.0002 0.0002 0.9998 Tl
0.4998 0.4998 0.5003 Ag
```

## Properties
theoretical density: 10.119 g/cm3
total magnetization: 0.00 μB/f.u.
energy: -3.361 eV per atom
ΔE_f: -0.233 eV/atom